Computed, not measured: crystalline HoScGeRh at its relaxed geometry at the GGA-PBE level of DFT.

## Properties
ΔH_f (0 K) (eV/atom): -0.76
V (A^3/atom): 19.5
SG: No. 216
Total moment (μB per formula unit): 0.0

Unit cell a=4.799 b=4.799 c=4.799 alpha=60.00 beta=60.00 gamma=60.00
Fractional coordinates of all 4 atoms:
Ho 0.000 0.000 0.000
Sc 0.500 0.500 0.500
Ge 0.250 0.250 0.250
Rh 0.750 0.750 0.750


Computed, not measured: crystalline HoSiGeRh2 at its relaxed geometry at the GGA-PBE level of DFT.

## Properties
E_tot (eV per atom): -6.456
V (A^3/atom): 21.3
SG: No. 99
Total moment (μB per formula unit): 0.0

Unit cell a=4.122 b=4.122 c=6.268 alpha=90.00 beta=90.00 gamma=90.00
Fractional coordinates of all 5 atoms:
Ho 0.000 0.000 0.000
Si 0.000 0.000 0.540
Ge 0.500 0.500 0.126
Rh 0.000 0.500 0.355
Rh 0.500 0.000 0.355


Computed, not measured: crystalline Ho3Si2GeRh9 at its relaxed geometry at the GGA-PBE level of DFT.

## Properties
E_tot (eV per atom): -6.933
V (A^3/atom): 18.1
SG: No. 164
Total moment (μB per formula unit): 0.0

Unit cell a=6.365 b=6.365 c=7.723 alpha=90.00 beta=90.00 gamma=120.00
Fractional coordinates of all 15 atoms:
Ho 0.000 0.000 0.000
Ho 0.333 0.667 0.666
Ho 0.667 0.333 0.334
Si 0.333 0.667 0.160
Si 0.667 0.333 0.840
Ge 0.000 0.000 0.500
Rh 0.000 0.500 0.000
Rh 0.172 0.344 0.332
Rh 0.172 0.828 0.332
Rh 0.344 0.172 0.668
Rh 0.500 0.000 0.000
Rh 0.500 0.500 0.000
Rh 0.656 0.828 0.332
Rh 0.828 0.172 0.668
Rh 0.828 0.656 0.668


Computed, not measured: crystalline Ho2SiGe2Rh5 at its relaxed geometry at the GGA-PBE level of DFT.

## Properties
E_tot (eV per atom): -6.840
V (A^3/atom): 16.6
SG: No. 127
Total moment (μB per formula unit): 0.0

Unit cell a=9.690 b=9.690 c=3.527 alpha=90.00 beta=90.00 gamma=90.00
Fractional coordinates of all 20 atoms:
Ho 0.174 0.326 0.000
Ho 0.326 0.826 0.000
Ho 0.674 0.174 0.000
Ho 0.826 0.674 0.000
Si 0.000 0.000 0.000
Si 0.500 0.500 0.000
Ge 0.126 0.626 0.000
Ge 0.374 0.126 0.000
Ge 0.626 0.874 0.000
Ge 0.874 0.374 0.000
Rh 0.000 0.500 0.500
Rh 0.065 0.799 0.500
Rh 0.201 0.065 0.500
Rh 0.299 0.565 0.500
Rh 0.435 0.299 0.500
Rh 0.500 0.000 0.500
Rh 0.565 0.701 0.500
Rh 0.701 0.435 0.500
Rh 0.799 0.935 0.500
Rh 0.935 0.201 0.500


Computed, not measured: crystalline Sm2HoGe3Rh4 at its relaxed geometry at the GGA-PBE level of DFT.

## Properties
ΔH_f (0 K) (eV/atom): -0.89
V (A^3/atom): 19.4
SG: No. 115
Total moment (μB per formula unit): 0.0

Unit cell a=4.167 b=4.167 c=11.190 alpha=90.00 beta=90.00 gamma=90.00
Fractional coordinates of all 10 atoms:
Sm 0.000 0.500 0.229
Sm 0.500 0.000 0.771
Ho 0.000 0.000 0.500
Ge 0.000 0.500 0.878
Ge 0.500 0.000 0.122
Ge 0.500 0.500 0.500
Rh 0.000 0.000 0.000
Rh 0.000 0.500 0.658
Rh 0.500 0.000 0.342
Rh 0.500 0.500 0.000


Computed, not measured: crystalline TbHoGeRh at its relaxed geometry at the GGA-PBE level of DFT.

## Properties
ΔH_f (0 K) (eV/atom): -0.73
Energy relative to the lowest polymorph listed for this composition (meV/atom): 134.4
V (A^3/atom): 21.4
SG: No. 216
Total moment (μB per formula unit): 0.0

Unit cell a=4.950 b=4.950 c=4.950 alpha=60.00 beta=60.00 gamma=60.00
Fractional coordinates of all 4 atoms:
Tb 0.000 0.000 0.000
Ho 0.500 0.500 0.500
Ge 0.750 0.750 0.750
Rh 0.250 0.250 0.250